DFT (PBE) results for a relaxed structure of Be2CrGe2.

abc: 3.324 3.324 12.256
angles: 90.00 90.00 90.00
Space group I4/mmm (No. 139)
Asymmetric unit:
Be 0.000 0.500 0.250 [4 per cell]
Cr 0.000 0.000 0.000 [2 per cell]
Ge 0.000 0.000 0.387 [4 per cell]

E above lowest polymorph = 3.8 kJ/mol of atoms
Formation enthalpy at 0 K = 0.41 eV per atom
Theoretical density = 5.281 Mg/m³